Entry 1:
# Li4Br5N2 | Alexandria via LeMat-Bulk | PBE | relaxed
data_Li4Br5N2
_symmetry_space_group_name_H-M 'P -1'
_symmetry_Int_Tables_number 2
_cell_length_a 3.4962
_cell_length_b 9.0175
_cell_length_c 10.5432
_cell_angle_alpha 97.39
_cell_angle_beta 99.45
_cell_angle_gamma 100.92
loop_
_symmetry_equiv_pos_as_xyz
'x,y,z'
'-x,-y,-z'
loop_
_atom_site_label
_atom_site_type_symbol
_atom_site_fract_x
_atom_site_fract_y
_atom_site_fract_z
Li1 Li 0.0847 0.4852 0.1850
Li2 Li 0.3716 0.6802 0.5680
Br1 Br 0.0167 0.7858 0.7558
Br2 Br 0.2618 0.3930 0.6278
Br3 Br 0.5000 0.5000 0.0000
N1 N 0.4743 0.9408 0.5114
# - M_tot: 0.33 μB per formula unit
# - DOS at the Fermi energy: 3.4 states/eV/f.u.
# - Energy relative to the elements, uncorrected: -1.017 eV/atom

=====

Entry 2:
# Dy2TiAu6 | Alexandria via LeMat-Bulk | PBE | relaxed
data_Dy2TiAu6
_symmetry_space_group_name_H-M 'C 1 2/c 1'
_symmetry_Int_Tables_number 15
_cell_length_a 13.4421
_cell_length_b 10.7969
_cell_length_c 5.1481
_cell_angle_alpha 90.00
_cell_angle_beta 100.90
_cell_angle_gamma 90.00
loop_
_symmetry_equiv_pos_as_xyz
'x,y,z'
'-x,-y,-z'
'-x,y,-z+1/2'
'x,-y,z+1/2'
'x+1/2,y+1/2,z'
'-x+1/2,-y+1/2,-z'
'-x+1/2,y+1/2,-z+1/2'
'x+1/2,-y+1/2,z+1/2'
loop_
_atom_site_label
_atom_site_type_symbol
_atom_site_fract_x
_atom_site_fract_y
_atom_site_fract_z
Dy1 Dy 0.1638 0.1213 0.0759
Ti1 Ti 0.0000 0.3820 0.2500
Au1 Au 0.0616 0.1523 0.5186
Au2 Au 0.1060 0.3871 0.8158
Au3 Au 0.2130 0.3715 0.3618
# - Formation energy from the elements: -55.8 kJ per mole of atoms
# - M_tot: 0.00 μB per formula unit
# - DOS at the Fermi energy: 7.3 states/eV/f.u.

=====

Entry 3:
# LiMg2Te | Alexandria via LeMat-Bulk | PBE | relaxed
data_LiMg2Te
_symmetry_space_group_name_H-M 'I -4 2 d'
_symmetry_Int_Tables_number 122
_symmetry_space_group_name_Hall 'I -4 2bw'
_cell_length_a 9.4935
_cell_length_b 9.4935
_cell_length_c 5.3425
_cell_angle_alpha 90.00
_cell_angle_beta 90.00
_cell_angle_gamma 90.00
loop_
_atom_site_label
_atom_site_type_symbol
_atom_site_fract_x
_atom_site_fract_y
_atom_site_fract_z
Li1 Li 0.0000 0.0000 0.0000
Mg1 Mg 0.1769 0.2500 0.6250
Te1 Te 0.0000 0.0000 0.5000
# - M_tot: 0.00 μB per formula unit
# - DOS at the Fermi energy: 2.0 states/eV/f.u.
# - Energy relative to the elements, uncorrected: -0.235 eV/atom

=====

Entry 4:
# Zn2MoPd | Alexandria via LeMat-Bulk | PBE | relaxed
data_Zn2MoPd
_symmetry_space_group_name_H-M 'F m -3 m'
_symmetry_Int_Tables_number 225
_symmetry_space_group_name_Hall '-F 4 2 3'
_cell_length_a 6.2005
_cell_length_b 6.2005
_cell_length_c 6.2005
_cell_angle_alpha 90.00
_cell_angle_beta 90.00
_cell_angle_gamma 90.00
loop_
_atom_site_label
_atom_site_type_symbol
_atom_site_fract_x
_atom_site_fract_y
_atom_site_fract_z
Zn1 Zn 0.2500 0.2500 0.2500
Mo1 Mo 0.0000 0.0000 0.0000
Pd1 Pd 0.0000 0.0000 0.5000
# - Formation energy from the elements: 4.7 kJ per mole of atoms
# - M_tot: 2.04 μB per formula unit
# - DOS at the Fermi energy: 2.1 states/eV/f.u.
# - Energy above the lowest structure with this stoichiometry: 0.000 eV/atom

=====

Entry 5:
# LiSi2Ru | Alexandria via LeMat-Bulk | PBE | relaxed
data_LiSi2Ru
_symmetry_space_group_name_H-M 'F -4 3 m'
_symmetry_Int_Tables_number 216
_symmetry_space_group_name_Hall 'F -4 2 3'
_cell_length_a 5.8268
_cell_length_b 5.8268
_cell_length_c 5.8268
_cell_angle_alpha 90.00
_cell_angle_beta 90.00
_cell_angle_gamma 90.00
loop_
_atom_site_label
_atom_site_type_symbol
_atom_site_fract_x
_atom_site_fract_y
_atom_site_fract_z
Li1 Li 0.0000 0.0000 0.0000
Si1 Si 0.0000 0.0000 0.5000
Si2 Si 0.2500 0.2500 0.2500
Ru1 Ru 0.2500 0.2500 0.7500
# - M_tot: 0.00 μB per formula unit
# - DOS at the Fermi energy: 1.6 states/eV/f.u.
# - Energy above the lowest structure with this stoichiometry: 0.355 eV/atom
# - Energy relative to the elements, uncorrected: 0.007 eV/atom

=====

Entry 6:
# K3SnTe | Alexandria via LeMat-Bulk | PBE | relaxed
data_K3SnTe
_symmetry_space_group_name_H-M 'P m -3 m'
_symmetry_Int_Tables_number 221
_symmetry_space_group_name_Hall '-P 4 2 3'
_cell_length_a 6.6296
_cell_length_b 6.6296
_cell_length_c 6.6296
_cell_angle_alpha 90.00
_cell_angle_beta 90.00
_cell_angle_gamma 90.00
loop_
_atom_site_label
_atom_site_type_symbol
_atom_site_fract_x
_atom_site_fract_y
_atom_site_fract_z
K1 K 0.0000 0.0000 0.5000
Sn1 Sn 0.5000 0.5000 0.5000
Te1 Te 0.0000 0.0000 0.0000
# - M_tot: 3.00 μB per formula unit
# - DOS at the Fermi energy: 0.0 states/eV/f.u.
# - Energy above the lowest structure with this stoichiometry: 0.000 eV/atom
# - Energy relative to the elements, uncorrected: -0.298 eV/atom

=====

Entry 7:
# AlCr3Hg | Alexandria via LeMat-Bulk | PBE | relaxed
data_AlCr3Hg
_symmetry_space_group_name_H-M 'P m -3 m'
_symmetry_Int_Tables_number 221
_symmetry_space_group_name_Hall '-P 4 2 3'
_cell_length_a 5.0956
_cell_length_b 5.0956
_cell_length_c 5.0956
_cell_angle_alpha 90.00
_cell_angle_beta 90.00
_cell_angle_gamma 90.00
loop_
_atom_site_label
_atom_site_type_symbol
_atom_site_fract_x
_atom_site_fract_y
_atom_site_fract_z
Al1 Al 0.0000 0.0000 0.0000
Cr1 Cr 0.0000 0.5000 0.5000
Hg1 Hg 0.5000 0.5000 0.5000
# - Formation energy from the elements: 150.7 kJ per mole of atoms
# - M_tot: 13.07 μB per formula unit
# - DOS at the Fermi energy: 5.3 states/eV/f.u.
# - Energy above the lowest structure with this stoichiometry: 0.336 eV/atom

=====

Entry 8:
# PuZnCoGe2 | Alexandria via LeMat-Bulk | PBE | relaxed
data_PuZnCoGe2
_symmetry_space_group_name_H-M 'P m m a'
_symmetry_Int_Tables_number 51
_cell_length_a 5.4128
_cell_length_b 5.6571
_cell_length_c 5.6581
_cell_angle_alpha 90.00
_cell_angle_beta 90.00
_cell_angle_gamma 90.00
loop_
_symmetry_equiv_pos_as_xyz
'x,y,z'
'-x,-y,-z'
'-x+1/2,-y,z'
'x+1/2,y,-z'
'x+1/2,-y,-z'
'-x+1/2,y,z'
'-x,y,-z'
'x,-y,z'
loop_
_atom_site_label
_atom_site_type_symbol
_atom_site_fract_x
_atom_site_fract_y
_atom_site_fract_z
Pu1 Pu 0.2500 0.0000 0.2337
Zn1 Zn 0.2500 0.5000 0.3703
Co1 Co 0.0000 0.5000 0.0000
Ge1 Ge 0.2500 0.2436 0.7522
# - Formation energy from the elements: -25.6 kJ per mole of atoms
# - M_tot: 5.28 μB per formula unit
# - DOS at the Fermi energy: 10.0 states/eV/f.u.

=====

Entry 9:
# MgGaHg3 | Alexandria via LeMat-Bulk | PBE | relaxed
data_MgGaHg3
_symmetry_space_group_name_H-M 'P m -3 m'
_symmetry_Int_Tables_number 221
_symmetry_space_group_name_Hall '-P 4 2 3'
_cell_length_a 5.3980
_cell_length_b 5.3980
_cell_length_c 5.3980
_cell_angle_alpha 90.00
_cell_angle_beta 90.00
_cell_angle_gamma 90.00
loop_
_atom_site_label
_atom_site_type_symbol
_atom_site_fract_x
_atom_site_fract_y
_atom_site_fract_z
Mg1 Mg 0.0000 0.0000 0.0000
Ga1 Ga 0.5000 0.5000 0.5000
Hg1 Hg 0.0000 0.0000 0.5000
# - Formation energy from the elements: 24.8 kJ per mole of atoms
# - M_tot: 0.00 μB per formula unit
# - DOS at the Fermi energy: 3.2 states/eV/f.u.
# - Energy above the lowest structure with this stoichiometry: 0.296 eV/atom

=====

Entry 10:
# La2CoNiH | Alexandria via LeMat-Bulk | PBE | relaxed
data_La2CoNiH
_symmetry_space_group_name_H-M 'P 4/m m m'
_symmetry_Int_Tables_number 123
_symmetry_space_group_name_Hall '-P 4 2'
_cell_length_a 5.0389
_cell_length_b 5.0389
_cell_length_c 3.5438
_cell_angle_alpha 90.00
_cell_angle_beta 90.00
_cell_angle_gamma 90.00
loop_
_atom_site_label
_atom_site_type_symbol
_atom_site_fract_x
_atom_site_fract_y
_atom_site_fract_z
La1 La 0.0000 0.5000 0.0000
Co1 Co 0.0000 0.0000 0.5000
Ni1 Ni 0.5000 0.5000 0.5000
H1 H 0.5000 0.5000 0.0000
# - M_tot: 0.07 μB per formula unit
# - DOS at the Fermi energy: 2.8 states/eV/f.u.
# - Energy above the lowest structure with this stoichiometry: 0.085 eV/atom

=====

Entry 11:
# ErHfIrOs | Alexandria via LeMat-Bulk | PBE | relaxed
data_ErHfIrOs
_symmetry_space_group_name_H-M 'F -4 3 m'
_symmetry_Int_Tables_number 216
_symmetry_space_group_name_Hall 'F -4 2 3'
_cell_length_a 6.6385
_cell_length_b 6.6385
_cell_length_c 6.6385
_cell_angle_alpha 90.00
_cell_angle_beta 90.00
_cell_angle_gamma 90.00
loop_
_atom_site_label
_atom_site_type_symbol
_atom_site_fract_x
_atom_site_fract_y
_atom_site_fract_z
Er1 Er 0.0000 0.0000 0.0000
Hf1 Hf 0.0000 0.0000 0.5000
Ir1 Ir 0.2500 0.2500 0.7500
Os1 Os 0.2500 0.2500 0.2500
# - Formation energy from the elements: -64.7 kJ per mole of atoms
# - M_tot: 0.00 μB per formula unit
# - DOS at the Fermi energy: 1.4 states/eV/f.u.

=====

Entry 12:
# CrSn3Se6 | Alexandria via LeMat-Bulk | PBE | relaxed
data_CrSn3Se6
_symmetry_space_group_name_H-M 'R 3'
_symmetry_Int_Tables_number 146
_symmetry_space_group_name_Hall 'R 3'
_cell_length_a 6.9292
_cell_length_b 6.9292
_cell_length_c 18.9962
_cell_angle_alpha 90.00
_cell_angle_beta 90.00
_cell_angle_gamma 120.00
loop_
_atom_site_label
_atom_site_type_symbol
_atom_site_fract_x
_atom_site_fract_y
_atom_site_fract_z
Cr1 Cr 0.0000 0.0000 0.0000
Sn1 Sn 0.0000 0.0000 0.2044
Sn2 Sn 0.0000 0.0000 0.4803
Sn3 Sn 0.0000 0.0000 0.6800
Se1 Se 0.0571 0.3447 0.5920
Se2 Se 0.0605 0.6859 0.7517
# - M_tot: 2.26 μB per formula unit
# - DOS at the Fermi energy: 3.7 states/eV/f.u.
# - Energy relative to the elements, uncorrected: -0.355 eV/atom

=====

Entry 13:
# Li2MgAs | Alexandria via LeMat-Bulk | PBE | relaxed
data_Li2MgAs
_symmetry_space_group_name_H-M 'R 3 m'
_symmetry_Int_Tables_number 160
_symmetry_space_group_name_Hall 'R 3 -2"'
_cell_length_a 4.2962
_cell_length_b 4.2962
_cell_length_c 26.3960
_cell_angle_alpha 90.00
_cell_angle_beta 90.00
_cell_angle_gamma 120.00
loop_
_atom_site_label
_atom_site_type_symbol
_atom_site_fract_x
_atom_site_fract_y
_atom_site_fract_z
Li1 Li 0.0000 0.0000 0.0000
Li2 Li 0.0000 0.0000 0.1710
Li3 Li 0.0000 0.0000 0.5358
Li4 Li 0.0000 0.0000 0.7929
Mg1 Mg 0.0000 0.0000 0.2793
Mg2 Mg 0.0000 0.0000 0.4049
As1 As 0.0000 0.0000 0.6872
As2 As 0.0000 0.0000 0.8940
# - Formation energy from the elements: -48.2 kJ per mole of atoms
# - M_tot: 0.00 μB per formula unit
# - DOS at the Fermi energy: 0.3 states/eV/f.u.
# - Energy above the lowest structure with this stoichiometry: 0.035 eV/atom

=====

Entry 14:
# Y7Ni | Alexandria via LeMat-Bulk | PBE | relaxed
data_Y7Ni
_symmetry_space_group_name_H-M 'F m -3 m'
_symmetry_Int_Tables_number 225
_symmetry_space_group_name_Hall '-F 4 2 3'
_cell_length_a 9.7613
_cell_length_b 9.7613
_cell_length_c 9.7613
_cell_angle_alpha 90.00
_cell_angle_beta 90.00
_cell_angle_gamma 90.00
loop_
_atom_site_label
_atom_site_type_symbol
_atom_site_fract_x
_atom_site_fract_y
_atom_site_fract_z
Y1 Y 0.0000 0.0000 0.0000
Y2 Y 0.0000 0.2500 0.2500
Ni1 Ni 0.0000 0.0000 0.5000
# - Formation energy from the elements: 15.4 kJ per mole of atoms
# - M_tot: 0.00 μB per formula unit
# - DOS at the Fermi energy: 14.6 states/eV/f.u.

=====

Entry 15:
# Al2ReOs | Alexandria via LeMat-Bulk | PBE | relaxed
data_Al2ReOs
_symmetry_space_group_name_H-M 'C m m m'
_symmetry_Int_Tables_number 65
_symmetry_space_group_name_Hall '-C 2 2'
_cell_length_a 2.9950
_cell_length_b 4.6627
_cell_length_c 8.3095
_cell_angle_alpha 90.00
_cell_angle_beta 90.00
_cell_angle_gamma 90.00
loop_
_atom_site_label
_atom_site_type_symbol
_atom_site_fract_x
_atom_site_fract_y
_atom_site_fract_z
Al1 Al 0.0000 0.0000 0.2456
Re1 Re 0.0000 0.5000 0.5000
Os1 Os 0.0000 0.5000 0.0000
# - Formation energy from the elements: -8.1 kJ per mole of atoms
# - M_tot: 0.00 μB per formula unit
# - DOS at the Fermi energy: 1.6 states/eV/f.u.
# - Energy above the lowest structure with this stoichiometry: 0.149 eV/atom

=====

Entry 16:
# NaPu2P | Alexandria via LeMat-Bulk | PBE | relaxed
data_NaPu2P
_symmetry_space_group_name_H-M 'R -3 m'
_symmetry_Int_Tables_number 166
_symmetry_space_group_name_Hall '-R 3 2"'
_cell_length_a 3.6328
_cell_length_b 3.6328
_cell_length_c 32.2429
_cell_angle_alpha 90.00
_cell_angle_beta 90.00
_cell_angle_gamma 120.00
loop_
_atom_site_label
_atom_site_type_symbol
_atom_site_fract_x
_atom_site_fract_y
_atom_site_fract_z
Na1 Na 0.0000 0.0000 0.0000
Pu1 Pu 0.0000 0.0000 0.1122
P1 P 0.0000 0.0000 0.5000
# - Formation energy from the elements: -23.8 kJ per mole of atoms
# - M_tot: 11.85 μB per formula unit
# - DOS at the Fermi energy: 18.2 states/eV/f.u.

=====

Entry 17:
# HfTiCd2Os | Alexandria via LeMat-Bulk | PBE | relaxed
data_HfTiCd2Os
_symmetry_space_group_name_H-M 'P 4/m m m'
_symmetry_Int_Tables_number 123
_symmetry_space_group_name_Hall '-P 4 2'
_cell_length_a 5.0222
_cell_length_b 5.0222
_cell_length_c 4.4653
_cell_angle_alpha 90.00
_cell_angle_beta 90.00
_cell_angle_gamma 90.00
loop_
_atom_site_label
_atom_site_type_symbol
_atom_site_fract_x
_atom_site_fract_y
_atom_site_fract_z
Hf1 Hf 0.0000 0.0000 0.0000
Ti1 Ti 0.5000 0.5000 0.5000
Cd1 Cd 0.0000 0.5000 0.5000
Os1 Os 0.5000 0.5000 0.0000
# - Formation energy from the elements: 101.6 kJ per mole of atoms
# - M_tot: 0.00 μB per formula unit
# - DOS at the Fermi energy: 3.2 states/eV/f.u.

=====

Entry 18:
# Ta2FeRh | Alexandria via LeMat-Bulk | PBE | relaxed
data_Ta2FeRh
_symmetry_space_group_name_H-M 'C m m m'
_symmetry_Int_Tables_number 65
_symmetry_space_group_name_Hall '-C 2 2'
_cell_length_a 5.8356
_cell_length_b 7.1564
_cell_length_c 2.9199
_cell_angle_alpha 90.00
_cell_angle_beta 90.00
_cell_angle_gamma 90.00
loop_
_atom_site_label
_atom_site_type_symbol
_atom_site_fract_x
_atom_site_fract_y
_atom_site_fract_z
Ta1 Ta 0.2500 0.2500 0.0000
Fe1 Fe 0.0000 0.0000 0.5000
Rh1 Rh 0.0000 0.5000 0.5000
# - Formation energy from the elements: -18.9 kJ per mole of atoms
# - M_tot: 0.13 μB per formula unit
# - DOS at the Fermi energy: 4.6 states/eV/f.u.

=====

Entry 19:
# SrBSe3 | Alexandria via LeMat-Bulk | PBE | relaxed
data_SrBSe3
_symmetry_space_group_name_H-M 'P m -3 m'
_symmetry_Int_Tables_number 221
_symmetry_space_group_name_Hall '-P 4 2 3'
_cell_length_a 5.8912
_cell_length_b 5.8912
_cell_length_c 5.8912
_cell_angle_alpha 90.00
_cell_angle_beta 90.00
_cell_angle_gamma 90.00
loop_
_atom_site_label
_atom_site_type_symbol
_atom_site_fract_x
_atom_site_fract_y
_atom_site_fract_z
Sr1 Sr 0.0000 0.0000 0.0000
B1 B 0.5000 0.5000 0.5000
Se1 Se 0.0000 0.0000 0.5000
# - M_tot: 3.00 μB per formula unit
# - DOS at the Fermi energy: 2.3 states/eV/f.u.
# - Energy above the lowest structure with this stoichiometry: 1.907 eV/atom
# - Energy relative to the elements, uncorrected: 1.079 eV/atom

=====

Entry 20:
# Ac8Ru2Pt3 | Alexandria via LeMat-Bulk | PBE | relaxed
data_Ac8Ru2Pt3
_symmetry_space_group_name_H-M 'C 1 2/m 1'
_symmetry_Int_Tables_number 12
_cell_length_a 15.5173
_cell_length_b 8.4187
_cell_length_c 7.3875
_cell_angle_alpha 90.00
_cell_angle_beta 105.99
_cell_angle_gamma 90.00
loop_
_symmetry_equiv_pos_as_xyz
'x,y,z'
'-x,-y,-z'
'-x,y,-z'
'x,-y,z'
'x+1/2,y+1/2,z'
'-x+1/2,-y+1/2,-z'
'-x+1/2,y+1/2,-z'
'x+1/2,-y+1/2,z'
loop_
_atom_site_label
_atom_site_type_symbol
_atom_site_fract_x
_atom_site_fract_y
_atom_site_fract_z
Ac1 Ac 0.1091 0.0000 0.3522
Ac2 Ac 0.1197 0.5000 0.4174
Ac3 Ac 0.1258 0.2573 0.8944
Ru1 Ru 0.2428 0.0000 0.1728
Pt1 Pt 0.0000 0.2409 0.5000
Pt2 Pt 0.0000 0.5000 0.0000
# - Formation energy from the elements: -51.7 kJ per mole of atoms
# - M_tot: 0.00 μB per formula unit
# - DOS at the Fermi energy: 9.4 states/eV/f.u.